(1)
DFT (PBE) results for a relaxed La5Ho6Er crystal.

- DFT formation energy: 0.029 eV/atom
- Total energy: -4.693 eV per atom
- Space group: No. 12

Cell: 6.1832 7.3275 9.5981 Å, 67.53 88.08 89.96°
Last column: nearest neighbours and their distance in Å.
Atoms (fractional coordinates):
La 0.6660 0.6671 0.6658  8 Ho 3.58-3.61, 4 La 3.66-3.71
La 0.3297 0.8357 0.3284  8 Ho 3.56-3.65, 1 Er 3.61, 3 La 3.66-3.71
La 0.0000 0.5000 0.0000  8 Ho 3.59-3.60, 2 Er 3.66, 2 La 3.67
La 0.3340 0.3329 0.3342  8 Ho 3.58-3.61, 4 La 3.66-3.71
La 0.6703 0.1643 0.6716  8 Ho 3.56-3.65, 1 Er 3.61, 3 La 3.66-3.71
Ho 0.5002 0.2484 0.0000  6 La 3.56-3.61, 2 Er 3.59, 4 Ho 3.64-3.69
Ho 0.8316 0.5854 0.3310  1 Er 3.58, 7 La 3.58-3.64, 4 Ho 3.64-3.71
Ho 0.8315 0.0837 0.3309  7 La 3.58-3.65, 1 Er 3.58, 4 Ho 3.64-3.71
Ho 0.1685 0.9163 0.6691  7 La 3.58-3.65, 1 Er 3.58, 4 Ho 3.64-3.71
Ho 0.4998 0.7516 0.0000  6 La 3.56-3.61, 2 Er 3.59, 4 Ho 3.64-3.69
Ho 0.1684 0.4146 0.6690  1 Er 3.58, 7 La 3.58-3.64, 4 Ho 3.64-3.71
Er 0.0000 0.0000 0.0000  8 Ho 3.58-3.59, 4 La 3.61-3.66

(2)
DFT (PBE) results for a relaxed LaHo7Er4 crystal.

- Energy above the most stable polymorph in this dataset: 0.00 eV/f.u.
- DFT formation energy: 0.002 eV/atom
- Total energy: -4.600 eV per atom
- Space group: No. 2

Cell: 7.1423 9.4375 8.7888 Å, 81.10 90.04 40.88°
Last column: nearest neighbours and their distance in Å.
Atoms (fractional coordinates):
La 0.0000 0.0000 0.0000  2 Er 3.54, 10 Ho 3.54-3.58
Ho 0.0271 0.7208 0.3362  6 Er 3.47-3.60, 5 Ho 3.48-3.58, 1 La 3.54
Ho 0.2477 0.4999 0.0000  3 Er 3.52-3.53, 7 Ho 3.54-3.61, 2 La 3.57-3.58
Ho 0.7523 0.5001 0.0000  3 Er 3.52-3.53, 7 Ho 3.54-3.61, 2 La 3.57-3.58
Ho 0.7772 0.2226 0.3359  6 Ho 3.48-3.58, 5 Er 3.49-3.59, 1 La 3.54
Ho 0.5000 0.0000 0.0000  4 Er 3.52-3.53, 6 Ho 3.52-3.56, 2 La 3.57
Ho 0.2228 0.7774 0.6641  6 Ho 3.48-3.58, 5 Er 3.49-3.59, 1 La 3.54
Ho 0.9729 0.2792 0.6638  6 Er 3.47-3.60, 5 Ho 3.48-3.58, 1 La 3.54
Er 0.4690 0.2789 0.6640  8 Ho 3.47-3.60, 3 Er 3.48-3.57, 1 La 3.54
Er 0.5310 0.7211 0.3360  8 Ho 3.47-3.60, 3 Er 3.48-3.57, 1 La 3.54
Er 0.2793 0.2207 0.3352  4 Er 3.48-3.57, 8 Ho 3.48-3.57
Er 0.7207 0.7793 0.6648  4 Er 3.48-3.57, 8 Ho 3.48-3.57

(3)
DFT (PBE) results for a relaxed LaHo2Er5 crystal.

- DFT formation energy: 0.025 eV/atom
- Total energy: -4.587 eV per atom
- Space group: No. 55

Cell: 7.0949 7.0890 19.9662 Å, 90.00 90.00 90.00°
Last column: nearest neighbours and their distance in Å.
Atoms (fractional coordinates):
La 0.0000 0.2500 0.8750  8 Er 3.54-3.55, 4 Ho 3.55
La 0.0000 0.7500 0.1250  8 Er 3.54-3.55, 4 Ho 3.55
La 0.0000 0.7499 0.6251  8 Er 3.54-3.55, 4 Ho 3.55
La 0.0000 0.2501 0.3749  8 Er 3.54-3.55, 4 Ho 3.55
Er 0.5000 0.7500 0.3748  8 Er 3.52-3.55, 4 Ho 3.53-3.55
Er 0.7471 0.5002 0.2499  8 Er 3.51-3.59, 2 Ho 3.52-3.53, 2 La 3.55
Er 0.2531 0.5000 0.5000  6 Er 3.50-3.59, 4 Ho 3.53-3.54, 2 La 3.55
Er 0.2529 0.9998 0.7501  8 Er 3.51-3.59, 2 Ho 3.52-3.53, 2 La 3.55
Er 0.2531 0.0000 0.0000  6 Er 3.50-3.59, 4 Ho 3.53-3.54, 2 La 3.55
Er 0.0000 0.7499 0.8750  2 La 3.54-3.55, 8 Er 3.55, 2 Ho 3.55
Er 0.0000 0.7500 0.3749  2 La 3.54-3.55, 8 Er 3.55, 2 Ho 3.55
Er 0.7471 0.4998 0.7501  8 Er 3.51-3.59, 2 Ho 3.52-3.53, 2 La 3.55
Er 0.2529 0.5002 0.2499  8 Er 3.51-3.59, 2 Ho 3.52-3.53, 2 La 3.55
Er 0.2529 0.4998 0.7501  8 Er 3.51-3.59, 2 Ho 3.52-3.53, 2 La 3.55
Er 0.7469 0.5000 0.5000  6 Er 3.50-3.59, 4 Ho 3.53-3.54, 2 La 3.55
Er 0.0000 0.2501 0.1250  2 La 3.54-3.55, 8 Er 3.55, 2 Ho 3.55
Er 0.5000 0.7499 0.8749  8 Er 3.52-3.55, 4 Ho 3.53-3.55
Er 0.0000 0.2500 0.6251  2 La 3.54-3.55, 8 Er 3.55, 2 Ho 3.55
Er 0.5000 0.2501 0.1251  8 Er 3.52-3.55, 4 Ho 3.53-3.55
Er 0.7471 0.9998 0.7501  8 Er 3.51-3.59, 2 Ho 3.52-3.53, 2 La 3.55
Er 0.7469 0.0000 0.0000  6 Er 3.50-3.59, 4 Ho 3.53-3.54, 2 La 3.55
Er 0.5000 0.2500 0.6252  8 Er 3.52-3.55, 4 Ho 3.53-3.55
Er 0.2529 0.0002 0.2499  8 Er 3.51-3.59, 2 Ho 3.52-3.53, 2 La 3.55
Er 0.7471 0.0002 0.2499  8 Er 3.51-3.59, 2 Ho 3.52-3.53, 2 La 3.55
Ho 0.7470 0.0000 0.5000  4 Ho 3.51-3.59, 6 Er 3.53-3.55, 2 La 3.55
Ho 0.5000 0.7503 0.1251  8 Er 3.52-3.55, 2 Ho 3.53, 2 La 3.55
Ho 0.5000 0.7496 0.6253  8 Er 3.52-3.55, 2 Ho 3.53, 2 La 3.55
Ho 0.7470 0.5000 0.0000  4 Ho 3.51-3.59, 6 Er 3.53-3.55, 2 La 3.55
Ho 0.5000 0.2504 0.3747  8 Er 3.52-3.55, 2 Ho 3.53, 2 La 3.55
Ho 0.5000 0.2497 0.8749  8 Er 3.52-3.55, 2 Ho 3.53, 2 La 3.55
Ho 0.2530 0.5000 0.0000  4 Ho 3.51-3.59, 6 Er 3.53-3.55, 2 La 3.55
Ho 0.2530 0.0000 0.5000  4 Ho 3.51-3.59, 6 Er 3.53-3.55, 2 La 3.55

(4)
DFT (PBE) results for a relaxed LaHo2Er6 crystal.

- Energy above the most stable polymorph in this dataset: 0.42 eV/f.u.
- DFT formation energy: 0.075 eV/atom
- Total energy: -4.531 eV per atom
- Space group: No. 12

Cell: 3.4738 5.6037 17.1161 Å, 119.40 101.72 90.02°
Last column: nearest neighbours and their distance in Å.
Atoms (fractional coordinates):
Er 0.5524 0.8299 0.0533  5 Er 3.18-3.47
Er 0.1153 0.1719 0.6145  5 Er 3.24-3.47
Er 0.2286 0.8408 0.7271  5 Er 3.18-3.47
Er 0.7714 0.1592 0.2729  5 Er 3.18-3.47
Er 0.4476 0.1701 0.9467  5 Er 3.18-3.47
Er 0.8847 0.8281 0.3855  5 Er 3.24-3.47
Ho 0.8357 0.5020 0.8345  2 Ho 3.47, 12 Er 3.61-3.68
Ho 0.1643 0.4980 0.1655  2 Ho 3.47, 12 Er 3.61-3.68
La 0.5000 0.5000 0.5000  2 La 3.47, 12 Er 3.69-3.72

(5)
DFT (PBE) results for a relaxed La3HoEr4 crystal.

- Energy above the most stable polymorph in this dataset: 0.00 eV/f.u.
- DFT formation energy: 0.030 eV/atom
- Total energy: -4.672 eV per atom
- Space group: No. 31

Cell: 7.1651 7.1661 10.2566 Å, 90.00 90.00 90.00°
Last column: nearest neighbours and their distance in Å.
Atoms (fractional coordinates):
Ho 0.8144 0.5005 0.0000  6 La 3.58-3.59, 6 Er 3.58-3.61
Ho 0.3144 0.4995 0.5000  6 La 3.58-3.59, 6 Er 3.58-3.61
Er 0.8141 0.4998 0.5000  6 Er 3.58-3.61, 2 Ho 3.58, 4 La 3.58-3.59
Er 0.0644 0.2486 0.2499  6 La 3.56-3.60, 4 Er 3.60-3.61, 2 Ho 3.61
Er 0.8145 0.0003 0.5000  6 Er 3.58-3.60, 6 La 3.58-3.63
Er 0.0644 0.2486 0.7501  6 La 3.56-3.60, 4 Er 3.60-3.61, 2 Ho 3.61
Er 0.3141 0.5002 0.0000  6 Er 3.58-3.61, 2 Ho 3.58, 4 La 3.58-3.59
Er 0.5644 0.7514 0.2501  6 La 3.56-3.60, 4 Er 3.60-3.61, 2 Ho 3.61
Er 0.5644 0.7514 0.7499  6 La 3.56-3.60, 4 Er 3.60-3.61, 2 Ho 3.61
Er 0.3145 0.9997 0.0000  6 Er 3.58-3.60, 6 La 3.58-3.63
La 0.0644 0.7456 0.7491  8 Er 3.56-3.63, 2 Ho 3.58-3.59, 2 La 3.62-3.63
La 0.8146 0.9998 0.0000  2 Ho 3.58-3.59, 6 Er 3.58-3.60, 4 La 3.62-3.63
La 0.3146 0.0002 0.5000  2 Ho 3.58-3.59, 6 Er 3.58-3.60, 4 La 3.62-3.63
La 0.5644 0.2544 0.7509  8 Er 3.56-3.63, 2 Ho 3.58-3.59, 2 La 3.62-3.63
La 0.0644 0.7456 0.2509  8 Er 3.56-3.63, 2 Ho 3.58-3.59, 2 La 3.62-3.63
La 0.5644 0.2544 0.2491  8 Er 3.56-3.63, 2 Ho 3.58-3.59, 2 La 3.62-3.63

(6)
DFT (PBE) results for a relaxed La2Ho8Er crystal.

- DFT formation energy: 0.031 eV/atom
- Total energy: -4.609 eV per atom
- Space group: No. 12

Cell: 5.0489 7.9721 9.4357 Å, 104.71 105.52 90.00°
Last column: nearest neighbours and their distance in Å.
Atoms (fractional coordinates):
La 0.2269 0.6371 0.4537  10 Ho 3.56-3.63, 2 La 3.58
La 0.7731 0.3629 0.5463  10 Ho 3.56-3.63, 2 La 3.58
Ho 0.1341 0.1748 0.2683  7 Ho 3.51-3.60, 2 Er 3.53, 3 La 3.61-3.63
Ho 0.3197 0.0933 0.6394  1 Er 3.55, 8 Ho 3.55-3.61, 3 La 3.56-3.58
Ho 0.8659 0.8252 0.7317  7 Ho 3.51-3.60, 2 Er 3.53, 3 La 3.61-3.63
Ho 0.4113 0.5477 0.8226  8 Ho 3.50-3.59, 1 Er 3.54, 3 La 3.59-3.61
Ho 0.5887 0.4523 0.1774  8 Ho 3.50-3.59, 1 Er 3.54, 3 La 3.59-3.61
Ho 0.9566 0.2720 0.9131  9 Ho 3.51-3.58, 2 Er 3.55, 1 La 3.59
Ho 0.0434 0.7280 0.0869  9 Ho 3.51-3.58, 2 Er 3.55, 1 La 3.59
Ho 0.6803 0.9067 0.3606  1 Er 3.55, 8 Ho 3.55-3.61, 3 La 3.56-3.58
Er 0.5000 0.0000 0.0000  12 Ho 3.53-3.55

(7)
DFT (PBE) results for a relaxed La6HoEr5 crystal.

- DFT formation energy: 0.023 eV/atom
- Total energy: -4.723 eV per atom
- Space group: No. 71

Cell: 5.2393 11.1538 9.6219 Å, 54.58 74.22 62.02°
Last column: nearest neighbours and their distance in Å.
Atoms (fractional coordinates):
Er 0.0000 0.6669 0.6661  8 La 3.59-3.60, 4 Er 3.70
Er 0.5000 0.1666 0.6669  8 La 3.59-3.60, 2 Er 3.70, 2 Ho 3.70
Er 0.0000 0.3331 0.3339  8 La 3.59-3.60, 4 Er 3.70
Er 0.5000 0.8334 0.3331  8 La 3.59-3.60, 2 Er 3.70, 2 Ho 3.70
Er 0.5000 0.5000 0.0000  8 La 3.59, 4 Er 3.70
La 0.2503 0.5830 0.3335  7 Er 3.59-3.60, 1 Ho 3.59, 4 La 3.70
La 0.7497 0.0836 0.3334  7 Er 3.59-3.60, 1 Ho 3.59, 4 La 3.70
La 0.7505 0.7495 0.0001  6 Er 3.59, 2 Ho 3.60, 4 La 3.70
La 0.7497 0.4170 0.6665  7 Er 3.59-3.60, 1 Ho 3.59, 4 La 3.70
La 0.2495 0.2505 0.9999  6 Er 3.59, 2 Ho 3.60, 4 La 3.70
La 0.2503 0.9164 0.6666  7 Er 3.59-3.60, 1 Ho 3.59, 4 La 3.70
Ho 0.0000 0.0000 0.0000  8 La 3.59-3.60, 4 Er 3.70

(8)
DFT (PBE) results for a relaxed La2Ho2Er crystal.

- Energy above the most stable polymorph in this dataset: 0.00 eV/f.u.
- DFT formation energy: 0.027 eV/atom
- Total energy: -4.687 eV per atom
- Space group: No. 15

Cell: 6.3852 8.5738 6.8304 Å, 102.85 90.00 111.86°
Last column: nearest neighbours and their distance in Å.
Atoms (fractional coordinates):
Er 0.4151 0.0000 0.2500  6 Ho 3.53-3.67, 4 La 3.56-3.66, 2 Er 3.58
Er 0.5849 0.0000 0.7500  6 Ho 3.53-3.67, 4 La 3.56-3.66, 2 Er 3.58
La 0.3877 0.6025 0.3486  2 Er 3.56-3.66, 5 La 3.59-3.69, 5 Ho 3.60-3.72
La 0.7852 0.3975 0.1514  2 Er 3.56-3.66, 5 La 3.59-3.69, 5 Ho 3.60-3.72
La 0.2148 0.6025 0.8486  2 Er 3.56-3.66, 5 La 3.59-3.69, 5 Ho 3.60-3.72
La 0.6123 0.3975 0.6514  2 Er 3.56-3.66, 5 La 3.59-3.69, 5 Ho 3.60-3.72
Ho 0.1783 0.1910 0.9504  4 Ho 3.44-3.58, 3 Er 3.53-3.67, 5 La 3.60-3.72
Ho 0.9873 0.8090 0.5496  4 Ho 3.44-3.58, 3 Er 3.53-3.67, 5 La 3.60-3.72
Ho 0.0127 0.1910 0.4504  4 Ho 3.44-3.58, 3 Er 3.53-3.67, 5 La 3.60-3.72
Ho 0.8217 0.8090 0.0496  4 Ho 3.44-3.58, 3 Er 3.53-3.67, 5 La 3.60-3.72

(9)
DFT (PBE) results for a relaxed La5Ho2Er2 crystal.

- Energy above the most stable polymorph in this dataset: 1.23 eV/f.u.
- DFT formation energy: 0.167 eV/atom
- Total energy: -4.602 eV per atom
- Space group: No. 46

Cell: 12.9598 6.2762 10.4544 Å, 107.47 128.30 90.00°
Last column: nearest neighbours and their distance in Å.
Atoms (fractional coordinates):
La 0.1496 0.2446 0.9000  5 La 3.40-3.66, 2 Ho 3.53-3.62, 1 Er 3.72
La 0.2504 0.7446 0.9000  5 La 3.40-3.66, 2 Ho 3.53-3.62, 1 Er 3.72
La 0.0798 0.7932 0.5000  3 Er 3.33-3.58, 2 Ho 3.41, 2 La 3.43
La 0.8504 0.3446 0.1000  5 La 3.40-3.66, 2 Ho 3.53-3.62, 1 Er 3.72
La 0.9203 0.2932 0.5000  3 Er 3.33-3.58, 2 Ho 3.41, 2 La 3.43
La 0.3272 0.0947 0.2887  4 La 3.20-3.59, 2 Er 3.25-3.54, 2 Ho 3.45-3.56
La 0.6728 0.8060 0.7113  4 La 3.20-3.59, 2 Er 3.25-3.54, 2 Ho 3.45-3.56
La 0.5386 0.3060 0.7113  4 La 3.20-3.59, 2 Er 3.25-3.54, 2 Ho 3.45-3.56
La 0.7496 0.8446 0.1000  5 La 3.40-3.66, 2 Ho 3.53-3.62, 1 Er 3.72
La 0.4614 0.5947 0.2887  4 La 3.20-3.59, 2 Er 3.25-3.54, 2 Ho 3.45-3.56
Ho 0.8142 0.3130 0.7302  6 La 3.41-3.62, 2 Er 3.49, 1 Ho 3.49
Ho 0.5840 0.0828 0.2698  6 La 3.41-3.62, 2 Er 3.49, 1 Ho 3.49
Ho 0.1858 0.5828 0.2698  6 La 3.41-3.62, 2 Er 3.49, 1 Ho 3.49
Ho 0.4160 0.8130 0.7302  6 La 3.41-3.62, 2 Er 3.49, 1 Ho 3.49
Er 0.8084 0.7714 0.5000  5 La 3.33-3.58, 2 Ho 3.49
Er 0.1916 0.2714 0.5000  5 La 3.33-3.58, 2 Ho 3.49
Er 0.0000 0.8857 0.0000  2 La 3.25, 2 Ho 3.49
Er 0.5000 0.3857 0.0000  2 La 3.25, 2 Ho 3.49

(10)
DFT (PBE) results for a relaxed LaHo7Er2 crystal.

- Energy above the most stable polymorph in this dataset: 0.00 eV/f.u.
- DFT formation energy: 0.024 eV/atom
- Total energy: -4.586 eV per atom
- Space group: No. 2

Cell: 6.1386 7.9237 7.9298 Å, 90.00 104.96 121.16°
Last column: nearest neighbours and their distance in Å.
Atoms (fractional coordinates):
Ho 0.4998 0.8997 0.2020  2 Er 3.53-3.55, 8 Ho 3.53-3.58, 2 La 3.55-3.56
Ho 0.0000 0.7990 0.4014  7 Ho 3.52-3.55, 4 Er 3.52-3.56, 1 La 3.56
Ho 0.5000 0.5000 0.0000  8 Ho 3.54-3.56, 2 La 3.54, 2 Er 3.55
Ho 0.5002 0.1003 0.7980  2 Er 3.53-3.55, 8 Ho 3.53-3.58, 2 La 3.55-3.56
Ho 0.0000 0.2010 0.5986  7 Ho 3.52-3.55, 4 Er 3.52-3.56, 1 La 3.56
Ho 0.9997 0.5978 0.7980  3 Er 3.51-3.55, 8 Ho 3.52-3.57, 1 La 3.57
Ho 0.0003 0.4022 0.2020  3 Er 3.51-3.55, 8 Ho 3.52-3.57, 1 La 3.57
La 0.0000 0.0000 0.0000  10 Ho 3.54-3.57, 2 Er 3.56
Er 0.5014 0.3017 0.4016  10 Ho 3.51-3.56, 1 Er 3.52, 1 La 3.56
Er 0.4986 0.6983 0.5984  10 Ho 3.51-3.56, 1 Er 3.52, 1 La 3.56

Q: What is the formula in the tenth record?
A: LaHo7Er2